Material: LuAl8Ni3
Method: DFT, PBE-GGA
State: optimized geometry

The structure belongs to space group Amm2 (No. 38); the cell edges are 7.0209, 3.7971 and 14.4898 Å and the angles 90.00°, 90.00° and 90.00°. The distinct sites, in fractional coordinates, are Lu at (0.0000, 0.0000, 0.0000), Al at (0.0000, 0.0000, 0.8019), Al at (0.1988, 0.0000, 0.1946), Al at (0.2834, 0.0000, 0.3695), Al at (0.3089, 0.0000, 0.5676), Al at (0.5000, 0.0000, 0.9534), Ni at (0.0000, 0.0000, 0.6395), Ni at (0.5000, 0.0000, 0.1195) and Ni at (0.5000, 0.0000, 0.7780).

The calculation puts the energy at -4.622 eV/atom. The formation energy is -0.305 eV/atom.

Material: DyZn2Cu4
Method: DFT, PBE-GGA
State: optimized geometry

The structure belongs to space group C2/m (No. 12); the cell edges are 8.1279, 6.4160 and 5.0063 Å and the angles 90.00°, 126.85° and 90.00°. The distinct sites, in fractional coordinates, are Dy at (0.0000, 0.0000, 0.0000), Zn at (0.0021, 0.5000, 0.7529) and Cu at (0.1896, 0.1911, 0.6882).

The calculation puts the energy at -3.598 eV/atom. The calculation puts the energy above the most stable polymorph in this dataset at 0.000 eV/atom. The formation energy is -0.236 eV/atom.

Material: Sr2TlHgO4
Method: DFT, PBE-GGA
State: optimized geometry

The structure belongs to space group P2/m (No. 10); the cell edges are 6.1690, 3.6502 and 6.4766 Å and the angles 90.00°, 112.76° and 90.00°. The distinct sites, in fractional coordinates, are Sr at (0.0000, 0.0000, 0.0000), Sr at (0.0000, 0.5000, 0.5000), Tl at (0.5000, 0.0000, 0.5000), Hg at (0.5000, 0.5000, 0.0000), O at (0.2438, 0.5000, 0.2600) and O at (0.2513, 0.0000, 0.7603).

As for the uncorrected formation energy: -1.527 eV per atom. The calculation puts the energy at -4.760 eV/atom.

Material: Ac2Pd
Method: DFT, PBE-GGA
State: optimized geometry

The structure belongs to space group C2/m (No. 12); the cell edges are 7.7812, 4.4844 and 7.1509 Å and the angles 90.00°, 111.25° and 90.00°. The distinct sites, in fractional coordinates, are Ac at (0.2485, 0.0000, 0.2450) and Pd at (0.0000, 0.5000, 0.0000).

The calculation puts the energy at -4.948 eV/atom. The calculation puts the energy above the most stable polymorph in this dataset at 0.000 eV/atom. The formation energy is -0.478 eV/atom.

Material: Rb2LiNiSn
Method: DFT, PBE-GGA
State: optimized geometry

The structure belongs to space group P4/mmm (No. 123); the cell edges are 6.4840, 6.4840 and 4.3655 Å and the angles 90.00°, 90.00° and 90.00°. The distinct sites, in fractional coordinates, are Rb at (0.0000, 0.5000, 0.0000), Li at (0.0000, 0.0000, 0.0000), Ni at (0.0000, 0.0000, 0.5000) and Sn at (0.5000, 0.5000, 0.5000).

The calculation puts the energy at -2.100 eV/atom. The formation energy is 0.626 eV/atom.

Material: Dy3YSn2C
Method: DFT, PBE-GGA
State: optimized geometry

The structure belongs to space group Immm (No. 71); the cell edges are 4.7982, 4.8004 and 15.9599 Å and the angles 90.00°, 90.00° and 90.00°. The distinct sites, in fractional coordinates, are Dy at (0.0000, 0.0000, 0.0000), Dy at (0.0000, 0.5000, 0.1592), Y at (0.0000, 0.0000, 0.5000), Sn at (0.0000, 0.5000, 0.3596) and C at (0.0000, 0.5000, 0.0000).

The calculation puts the energy at -6.024 eV/atom. The formation energy is -0.667 eV/atom.

Material: CaIn2Sb
Method: DFT, PBE-GGA
State: optimized geometry

The structure belongs to space group P4/mmm (No. 123); the cell edges are 4.0100, 4.0100 and 6.9849 Å and the angles 90.00°, 90.00° and 90.00°. The distinct sites, in fractional coordinates, are Ca at (0.0000, 0.0000, 0.0000), In at (0.5000, 0.5000, 0.2756) and Sb at (0.0000, 0.0000, 0.5000).

As for the uncorrected formation energy: -0.255 eV per atom. The calculation puts the energy at -3.155 eV/atom.

Material: Er3Tl2Ga
Method: DFT, PBE-GGA
State: optimized geometry

The structure belongs to space group Cmmm (No. 65); the cell edges are 5.2888, 15.8206 and 3.6291 Å and the angles 90.00°, 90.00° and 90.00°. The distinct sites, in fractional coordinates, are Er at (0.0000, 0.0000, 0.0000), Er at (0.0000, 0.3446, 0.0000), Tl at (0.0000, 0.1718, 0.5000) and Ga at (0.0000, 0.5000, 0.5000).

The calculation puts the energy at -3.958 eV/atom. The calculation puts the energy above the most stable polymorph in this dataset at 0.013 eV/atom. The formation energy is -0.383 eV/atom.

Material: Li8Mg6Cu
Method: DFT, PBE-GGA
State: optimized geometry

The structure belongs to space group R-3 (No. 148, hexagonal axes); the cell edges are 5.3376, 5.3376 and 36.4049 Å and the angles 90.00°, 90.00° and 120.00°. The distinct sites, in fractional coordinates, are Li at (0.0000, 0.0000, 0.1667), Li at (0.9996, 0.3326, 0.3675), Mg at (0.0001, 0.3251, 0.5635) and Cu at (0.0000, 0.0000, 0.5000).

The calculation puts the energy at -1.940 eV/atom. The formation energy is -0.008 eV/atom.

Material: FeTeIr2
Method: DFT, PBE-GGA
State: optimized geometry

The structure belongs to space group Imm2 (No. 44); the cell edges are 3.0499, 4.5844 and 9.2598 Å and the angles 90.00°, 90.00° and 90.00°. The distinct sites, in fractional coordinates, are Fe at (0.0000, 0.0000, 0.0000), Te at (0.0000, 0.5000, 0.2557), Ir at (0.0000, 0.0000, 0.5207) and Ir at (0.0000, 0.5000, 0.7444).

As for the uncorrected formation energy: 0.459 eV per atom. The calculation puts the energy at -6.873 eV/atom.

Material: CrOs2Au
Method: DFT, PBE-GGA
State: optimized geometry

The structure belongs to space group I-4m2 (No. 119); the cell edges are 3.8708, 3.8708 and 7.8003 Å and the angles 90.00°, 90.00° and 90.00°. The distinct sites, in fractional coordinates, are Cr at (0.0000, 0.0000, 0.0000), Os at (0.0000, 0.0000, 0.5000), Os at (0.0000, 0.5000, 0.2500) and Au at (0.0000, 0.5000, 0.7500).

The calculation puts the energy at -8.421 eV/atom. The calculation puts the energy above the most stable polymorph in this dataset at 0.157 eV/atom. The formation energy is 0.419 eV/atom.

Material: CePm2Er5Tm
Method: DFT, PBE-GGA
State: optimized geometry

The structure belongs to space group I4/mcm (No. 140); the cell edges are 10.6278, 10.6278 and 13.8107 Å and the angles 90.00°, 90.00° and 90.00°. The distinct sites, in fractional coordinates, are Ce at (0.0000, 0.5000, 0.2500), Pm at (0.1107, 0.3893, 0.0000), Er at (0.0000, 0.0000, 0.0000), Er at (0.1672, 0.3328, 0.2062) and Tm at (0.0000, 0.0000, 0.2500).

The calculation puts the energy at -3.216 eV/atom. The formation energy is 1.531 eV/atom.

Material: TaIn2Mo
Method: DFT, PBE-GGA
State: optimized geometry

The structure belongs to space group Cm (No. 8); the cell edges are 10.1067, 2.9170 and 5.2413 Å and the angles 90.00°, 96.05° and 90.00°. The distinct sites, in fractional coordinates, are Ta at (0.0000, 0.0000, 0.0000), In at (0.0040, 0.5000, 0.5116), In at (0.2485, 0.5000, 0.2570) and Mo at (0.2475, 0.0000, 0.7663).

The calculation puts the energy at -6.684 eV/atom. The calculation puts the energy above the most stable polymorph in this dataset at 0.165 eV/atom. The formation energy is 0.356 eV/atom.

Material: Ba6Na2CdRh
Method: DFT, PBE-GGA
State: optimized geometry

The structure belongs to space group I4mm (No. 107); the cell edges are 9.1888, 9.1888 and 12.9663 Å and the angles 90.00°, 90.00° and 90.00°. The distinct sites, in fractional coordinates, are Ba at (0.0000, 0.0000, 0.0000), Ba at (0.0000, 0.0000, 0.4727), Ba at (0.2362, 0.2362, 0.2363), Na at (0.0000, 0.5000, 0.4860), Cd at (0.0000, 0.0000, 0.7364) and Rh at (0.0000, 0.0000, 0.2363).

The calculation puts the energy at -2.346 eV/atom. The formation energy is -0.102 eV/atom.

Material: Hf3TiFe
Method: DFT, PBE-GGA
State: optimized geometry

The structure belongs to space group Pm-3m (No. 221); the cell edges are 4.7595, 4.7595 and 4.7595 Å and the angles 90.00°, 90.00° and 90.00°. The distinct sites, in fractional coordinates, are Hf at (0.0000, 0.0000, 0.5000), Ti at (0.5000, 0.5000, 0.5000) and Fe at (0.0000, 0.0000, 0.0000).

The calculation puts the energy at -8.862 eV/atom. The calculation puts the energy above the most stable polymorph in this dataset at 0.323 eV/atom. The formation energy is 0.382 eV/atom.

Material: TcB2PdC
Method: DFT, PBE-GGA
State: optimized geometry

The structure belongs to space group P4/mmm (No. 123); the cell edges are 4.0580, 4.0580 and 3.8585 Å and the angles 90.00°, 90.00° and 90.00°. The distinct sites, in fractional coordinates, are Tc at (0.0000, 0.0000, 0.0000), B at (0.0000, 0.5000, 0.5000), Pd at (0.5000, 0.5000, 0.5000) and C at (0.5000, 0.5000, 0.0000).

The calculation puts the energy at -5.470 eV/atom. The formation energy is 2.157 eV/atom.

Material: Hf3NbIn
Method: DFT, PBE-GGA
State: optimized geometry

The structure belongs to space group Pm-3m (No. 221); the cell edges are 5.1497, 5.1497 and 5.1497 Å and the angles 90.00°, 90.00° and 90.00°. The distinct sites, in fractional coordinates, are Hf at (0.0000, 0.0000, 0.5000), Nb at (0.5000, 0.5000, 0.5000) and In at (0.0000, 0.0000, 0.0000).

The calculation puts the energy at -6.996 eV/atom. The calculation puts the energy above the most stable polymorph in this dataset at 1.554 eV/atom. The formation energy is 1.538 eV/atom.

Material: ThAl4Ga
Method: DFT, PBE-GGA
State: optimized geometry

The structure belongs to space group F-43m (No. 216); the cell edges are 7.8745, 7.8745 and 7.8745 Å and the angles 90.00°, 90.00° and 90.00°. The distinct sites, in fractional coordinates, are Th at (0.0000, 0.0000, 0.0000), Al at (0.1243, 0.1243, 0.6243) and Ga at (0.2500, 0.2500, 0.2500).

The calculation puts the energy at -4.378 eV/atom. The formation energy is -0.142 eV/atom.

Material: ReAuSCl2
Method: DFT, PBE-GGA
State: optimized geometry

The structure belongs to space group P4/mmm (No. 123); the cell edges are 4.9123, 4.9123 and 4.4895 Å and the angles 90.00°, 90.00° and 90.00°. The distinct sites, in fractional coordinates, are Re at (0.0000, 0.0000, 0.0000), Au at (0.5000, 0.5000, 0.5000), S at (0.0000, 0.0000, 0.5000) and Cl at (0.0000, 0.5000, 0.0000).

As for the uncorrected formation energy: 0.432 eV per atom. The calculation puts the energy at -4.277 eV/atom. The calculation puts the energy above the most stable polymorph in this dataset at 0.000 eV/atom.

Material: RbPuI2
Method: DFT, PBE-GGA
State: optimized geometry

The structure belongs to space group P4/mmm (No. 123); the cell edges are 4.0040, 4.0040 and 8.8484 Å and the angles 90.00°, 90.00° and 90.00°. The distinct sites, in fractional coordinates, are Rb at (0.0000, 0.0000, 0.0000), Pu at (0.0000, 0.0000, 0.5000) and I at (0.5000, 0.5000, 0.2819).

As for the uncorrected formation energy: -0.830 eV per atom. The calculation puts the energy at -5.430 eV/atom. The calculation puts the energy above the most stable polymorph in this dataset at 0.038 eV/atom.

Material: Ga2AgCl8
Method: DFT, PBE-GGA
State: optimized geometry

The structure belongs to space group C2/m (No. 12); the cell edges are 12.1047, 9.3325 and 6.5648 Å and the angles 90.00°, 90.79° and 90.00°. The distinct sites, in fractional coordinates, are Ga at (0.2140, 0.0000, 0.1700), Ag at (0.0000, 0.0000, 0.5000), Cl at (0.1113, 0.1794, 0.3095), Cl at (0.1194, 0.5000, 0.7174) and Cl at (0.1952, 0.0000, 0.8413).

As for the uncorrected formation energy: -0.908 eV per atom. The calculation puts the energy at -3.061 eV/atom.

Material: CsBiPt3
Method: DFT, PBE-GGA
State: optimized geometry

The structure belongs to space group Pm-3m (No. 221); the cell edges are 5.2201, 5.2201 and 5.2201 Å and the angles 90.00°, 90.00° and 90.00°. The distinct sites, in fractional coordinates, are Cs at (0.0000, 0.0000, 0.0000), Bi at (0.5000, 0.5000, 0.5000) and Pt at (0.0000, 0.0000, 0.5000).

The calculation puts the energy at -2.779 eV/atom. The calculation puts the energy above the most stable polymorph in this dataset at 1.218 eV/atom. The formation energy is 1.792 eV/atom.

Material: Ba2C
Method: DFT, PBE-GGA
State: optimized geometry

The structure belongs to space group P6_3/mmc (No. 194); the cell edges are 4.0848, 4.0848 and 15.1958 Å and the angles 90.00°, 90.00° and 120.00°. The distinct sites, in fractional coordinates, are Ba at (0.3333, 0.6667, 0.1435) and C at (0.3333, 0.6667, 0.7500).

The calculation puts the energy at -3.655 eV/atom. The calculation puts the energy above the most stable polymorph in this dataset at 0.565 eV/atom. The formation energy is 0.701 eV/atom.

Material: Nb4Mo2Os
Method: DFT, PBE-GGA
State: optimized geometry

The structure belongs to space group Cmmm (No. 65); the cell edges are 3.2746, 23.0109 and 3.2329 Å and the angles 90.00°, 90.00° and 90.00°. The distinct sites, in fractional coordinates, are Nb at (0.0000, 0.0688, 0.0000), Nb at (0.0000, 0.3570, 0.5000), Mo at (0.0000, 0.2077, 0.0000) and Os at (0.0000, 0.5000, 0.5000).

The calculation puts the energy at -10.367 eV/atom. The calculation puts the energy above the most stable polymorph in this dataset at 0.000 eV/atom. The formation energy is 0.086 eV/atom.

Material: NaLi5Br6
Method: DFT, PBE-GGA
State: optimized geometry

The structure belongs to space group C2/m (No. 12); the cell edges are 6.8646, 11.9087 and 6.8563 Å and the angles 90.00°, 109.49° and 90.00°. The distinct sites, in fractional coordinates, are Na at (0.0000, 0.0000, 0.0000), Li at (0.0000, 0.1670, 0.5000), Li at (0.0000, 0.3316, 0.0000), Li at (0.0000, 0.5000, 0.5000), Br at (0.2408, 0.3266, 0.7460) and Br at (0.2413, 0.5000, 0.2618).

As for the uncorrected formation energy: -1.520 eV per atom. The calculation puts the energy at -3.263 eV/atom.

Material: BePPb2
Method: DFT, PBE-GGA
State: optimized geometry

The structure belongs to space group Fm-3m (No. 225); the cell edges are 7.1420, 7.1420 and 7.1420 Å and the angles 90.00°, 90.00° and 90.00°. The distinct sites, in fractional coordinates, are Be at (0.0000, 0.0000, 0.0000), P at (0.0000, 0.0000, 0.5000) and Pb at (0.2500, 0.2500, 0.2500).

The calculation puts the energy at -3.466 eV/atom. The calculation puts the energy above the most stable polymorph in this dataset at 0.684 eV/atom. The formation energy is 0.672 eV/atom.